[1]
A relaxed Ca2AsOs crystal. Source: the Alexandria database, functional PBE.

Cell and atoms, written as POSCAR:
```
Ca2AsOs
1.0
-3.798 9.928 0.850
-6.943 -1.984 -7.846
-6.932 3.240 -1.931
As Os Ca
2 2 4
Cartesian
-5.370 3.972 -3.498 As
-9.623 2.614 -6.638 As
0.000 0.000 0.000 Os
-8.050 8.570 -2.289 Os
-5.668 8.579 -0.777 Ca
-9.652 8.927 -4.585 Ca
-7.959 5.771 -2.639 Ca
-8.922 11.003 -1.156 Ca
```

Calculated values
As for the energy: -5.052 eV/atom. As for the crystal system: tetragonal. The magnetic moment is 0.0 μB per cell. The energy relative to the elements comes out at -82 meV/atom.

---

[2]
A relaxed Ca2AsOs crystal. Source: the Alexandria database, functional PBE.

Cell and atoms, written as POSCAR:
```
Ca2AsOs
1.0
3.165 0.000 0.000
0.000 3.165 0.000
0.000 0.000 8.499
As Os Ca
1 1 2
Cartesian
1.582 1.582 6.374 As
1.582 1.582 2.125 Os
0.000 0.000 0.078 Ca
0.000 0.000 4.172 Ca
```

Calculated values
As for the energy: -4.964 eV/atom. As for the crystal system: tetragonal. The magnetic moment is 0.8 μB per cell. The energy relative to the elements comes out at 6 meV/atom.

---

[3]
A relaxed Ca4AsOs crystal. Source: the Alexandria database, functional PBE.

Cell and atoms, written as POSCAR:
```
Ca4AsOs
1.0
-2.932 -1.777 4.865
0.616 2.995 5.106
-4.518 3.252 2.106
Ca As Os
4 1 1
Cartesian
-4.024 0.796 6.955 Ca
-4.813 3.295 5.584 Ca
-2.262 3.168 7.075 Ca
-2.568 1.680 4.538 Ca
0.000 0.000 0.000 As
-5.125 3.352 9.057 Os
```

Calculated values
As for the energy: -3.168 eV/atom. As for the crystal system: cubic. The magnetic moment is 0.4 μB per cell. The energy relative to the elements comes out at 813 meV/atom.

---

[4]
A relaxed CaAsOs2 crystal. Source: the Alexandria database, functional PBE.

Cell and atoms, written as POSCAR:
```
CaAsOs2
1.0
-2.269 -1.932 -0.088
2.160 -0.712 1.927
-4.047 4.471 6.189
As Os Ca
1 2 1
Cartesian
-1.066 -0.205 2.467 As
-0.139 0.154 0.213 Os
-1.885 2.082 2.882 Os
-3.090 2.031 5.562 Ca
```

Calculated values
As for the energy: -6.559 eV/atom. As for the crystal system: orthorhombic. The magnetic moment is 0.0 μB per cell. The energy relative to the elements comes out at 719 meV/atom.